No. 1
Material: Cs3CdAg3
Method: DFT, PBE
State: relaxed

a = 7.337 Å, b = 7.337 Å, c = 17.695 Å
α = 109.43°, β = 109.43°, γ = 42.36°
Fractional positions:
Cs 0.023 0.023 0.388
Cs 0.104 0.104 0.922
Cs 0.254 0.254 0.228
Cs 0.746 0.746 0.772
Cs 0.896 0.896 0.078
Cs 0.977 0.977 0.612
Cd 0.262 0.262 0.607
Cd 0.738 0.738 0.393
Ag 0.301 0.301 0.454
Ag 0.415 0.415 0.923
Ag 0.432 0.432 0.765
Ag 0.568 0.568 0.235
Ag 0.585 0.585 0.077
Ag 0.699 0.699 0.546

Energy of formation (eV per atom): 0.010
Total moment (Bohr magnetons per cell): 0.0

No. 2
Material: CsSrCl2
Method: DFT, PBE
State: relaxed

a = 7.555 Å, b = 7.555 Å, c = 14.808 Å
α = 90.00°, β = 90.00°, γ = 90.00°
Fractional positions:
Cs 0.000 0.000 0.000
Cs 0.000 0.500 0.250
Cs 0.500 0.000 0.750
Cs 0.500 0.500 0.500
Sr 0.000 0.000 0.500
Sr 0.000 0.500 0.750
Sr 0.500 0.000 0.250
Sr 0.500 0.500 0.000
Cl 0.154 0.250 0.625
Cl 0.250 0.654 0.875
Cl 0.250 0.846 0.375
Cl 0.346 0.250 0.125
Cl 0.654 0.750 0.125
Cl 0.750 0.154 0.375
Cl 0.750 0.346 0.875
Cl 0.846 0.750 0.625

Polymorph energy (0 for the lowest one) (eV/f.u.): 0.31
Formation energy without anion corrections (eV per atom): -1.6995
Total moment (Bohr magnetons per cell): 0.0

No. 3
Material: GaCu2HgS4
Method: DFT, PBE
State: relaxed

a = 5.507 Å, b = 5.507 Å, c = 10.809 Å
α = 90.00°, β = 90.00°, γ = 90.00°
Fractional positions:
Ga 0.000 0.000 0.000
Ga 0.500 0.500 0.500
Cu 0.000 0.500 0.250
Cu 0.000 0.500 0.750
Cu 0.500 0.000 0.250
Cu 0.500 0.000 0.750
Hg 0.000 0.000 0.500
Hg 0.500 0.500 0.000
S 0.230 0.230 0.136
S 0.230 0.770 0.864
S 0.270 0.270 0.636
S 0.270 0.730 0.364
S 0.730 0.270 0.364
S 0.730 0.730 0.636
S 0.770 0.230 0.864
S 0.770 0.770 0.136

Formation energy without anion corrections (eV per atom): -0.3621
Total moment (Bohr magnetons per cell): 0.0

No. 4
Material: AgP2H
Method: DFT, PBE
State: relaxed

a = 6.051 Å, b = 6.051 Å, c = 6.051 Å
α = 90.00°, β = 90.00°, γ = 90.00°
Fractional positions:
Ag 0.000 0.000 0.000
Ag 0.000 0.500 0.500
Ag 0.500 0.000 0.500
Ag 0.500 0.500 0.000
P 0.250 0.250 0.250
P 0.250 0.250 0.750
P 0.250 0.750 0.250
P 0.250 0.750 0.750
P 0.750 0.250 0.250
P 0.750 0.250 0.750
P 0.750 0.750 0.250
P 0.750 0.750 0.750
H 0.000 0.000 0.500
H 0.000 0.500 0.000
H 0.500 0.000 0.000
H 0.500 0.500 0.500

Polymorph energy (0 for the lowest one) (eV/f.u.): 1.30
Total moment (Bohr magnetons per cell): 0.0

No. 5
Material: RbCe2NpO8
Method: DFT, PBE
State: relaxed

a = 5.331 Å, b = 7.226 Å, c = 5.353 Å
α = 90.00°, β = 90.59°, γ = 90.00°
Fractional positions:
Rb 0.000 0.000 0.000
Ce 0.500 0.249 0.500
Ce 0.500 0.751 0.500
Np 0.000 0.500 0.000
O 0.187 0.313 0.182
O 0.187 0.687 0.182
O 0.304 0.500 0.693
O 0.335 0.000 0.655
O 0.665 0.000 0.345
O 0.696 0.500 0.307
O 0.813 0.313 0.818
O 0.813 0.687 0.818

Formation energy without anion corrections (eV per atom): -2.7613
Total moment (Bohr magnetons per cell): 0.0

No. 6
Material: NaPuTlI6
Method: DFT, PBE
State: relaxed

a = 8.056 Å, b = 8.056 Å, c = 14.891 Å
α = 90.00°, β = 90.00°, γ = 120.00°
Fractional positions:
Na 0.333 0.667 0.250
Na 0.667 0.333 0.750
Pu 0.333 0.667 0.750
Pu 0.667 0.333 0.250
Tl 0.000 0.000 0.000
Tl 0.000 0.000 0.500
I 0.022 0.370 0.632
I 0.022 0.651 0.868
I 0.349 0.370 0.868
I 0.349 0.978 0.632
I 0.370 0.022 0.132
I 0.370 0.349 0.368
I 0.630 0.651 0.632
I 0.630 0.978 0.868
I 0.651 0.022 0.368
I 0.651 0.630 0.132
I 0.978 0.349 0.132
I 0.978 0.630 0.368

Formation energy without anion corrections (eV per atom): -0.9013
Total moment (Bohr magnetons per cell): 8.0

No. 7
Material: YCd2Ru
Method: DFT, PBE
State: relaxed

a = 3.091 Å, b = 3.091 Å, c = 30.292 Å
α = 90.00°, β = 90.00°, γ = 120.00°
Fractional positions:
Y 0.000 0.000 0.000
Y 0.333 0.667 0.667
Y 0.667 0.333 0.333
Cd 0.000 0.000 0.240
Cd 0.000 0.000 0.760
Cd 0.333 0.667 0.426
Cd 0.333 0.667 0.907
Cd 0.667 0.333 0.093
Cd 0.667 0.333 0.574
Ru 0.000 0.000 0.500
Ru 0.333 0.667 0.167
Ru 0.667 0.333 0.833

Energy of formation (eV per atom): 0.309
Total moment (Bohr magnetons per cell): 1.4

No. 8
Material: Li3Sm3TiSe8
Method: DFT, PBE
State: relaxed

a = 8.008 Å, b = 8.008 Å, c = 8.008 Å
α = 61.19°, β = 61.19°, γ = 61.19°
Fractional positions:
Li 0.000 0.500 0.500
Li 0.500 0.000 0.500
Li 0.500 0.500 0.000
Sm 0.000 0.000 0.500
Sm 0.000 0.500 0.000
Sm 0.500 0.000 0.000
Ti 0.500 0.500 0.500
Se 0.254 0.254 0.254
Se 0.269 0.269 0.721
Se 0.269 0.721 0.269
Se 0.279 0.731 0.731
Se 0.721 0.269 0.269
Se 0.731 0.279 0.731
Se 0.731 0.731 0.279
Se 0.746 0.746 0.746

Formation energy without anion corrections (eV per atom): -1.5329
Total moment (Bohr magnetons per cell): 0.0

No. 9
Material: Tl2InW
Method: DFT, PBE
State: relaxed

a = 2.963 Å, b = 4.942 Å, c = 14.051 Å
α = 90.00°, β = 90.00°, γ = 90.00°
Fractional positions:
Tl 0.000 0.000 0.000
Tl 0.000 0.500 0.187
Tl 0.500 0.000 0.687
Tl 0.500 0.500 0.500
In 0.000 0.500 0.819
In 0.500 0.000 0.319
W 0.000 0.000 0.496
W 0.500 0.500 0.996

Energy of formation (eV per atom): 0.654
Polymorph energy (0 for the lowest one) (eV/f.u.): 0.15
Total moment (Bohr magnetons per cell): 0.8

No. 10
Material: Sm7Al2In2
Method: DFT, PBE
State: relaxed

a = 6.886 Å, b = 6.886 Å, c = 7.878 Å
α = 90.00°, β = 90.00°, γ = 110.88°
Fractional positions:
Sm 0.000 0.000 0.000
Sm 0.000 0.500 0.282
Sm 0.000 0.500 0.718
Sm 0.500 0.000 0.282
Sm 0.500 0.000 0.718
Sm 0.500 0.500 0.245
Sm 0.500 0.500 0.755
Al 0.285 0.715 0.000
Al 0.715 0.285 0.000
In 0.180 0.180 0.500
In 0.820 0.820 0.500

Energy of formation (eV per atom): -0.069
Total moment (Bohr magnetons per cell): 0.0

No. 11
Material: CaHoCdAu
Method: DFT, PBE
State: relaxed

a = 7.343 Å, b = 7.343 Å, c = 7.343 Å
α = 90.00°, β = 90.00°, γ = 90.00°
Fractional positions:
Ca 0.000 0.000 0.000
Ca 0.000 0.500 0.500
Ca 0.500 0.000 0.500
Ca 0.500 0.500 0.000
Ho 0.000 0.000 0.500
Ho 0.000 0.500 0.000
Ho 0.500 0.000 0.000
Ho 0.500 0.500 0.500
Cd 0.250 0.250 0.750
Cd 0.250 0.750 0.250
Cd 0.750 0.250 0.250
Cd 0.750 0.750 0.750
Au 0.250 0.250 0.250
Au 0.250 0.750 0.750
Au 0.750 0.250 0.750
Au 0.750 0.750 0.250

Energy of formation (eV per atom): -0.547
Polymorph energy (0 for the lowest one) (eV/f.u.): 0.18
Total moment (Bohr magnetons per cell): 0.0

No. 12
Material: Na3HfNp3N8
Method: DFT, PBE
State: relaxed

a = 6.931 Å, b = 6.931 Å, c = 6.931 Å
α = 58.77°, β = 58.77°, γ = 58.77°
Fractional positions:
Na 0.000 0.500 0.500
Na 0.500 0.000 0.500
Na 0.500 0.500 0.000
Hf 0.500 0.500 0.500
Np 0.000 0.000 0.500
Np 0.000 0.500 0.000
Np 0.500 0.000 0.000
N 0.222 0.726 0.726
N 0.228 0.228 0.228
N 0.274 0.274 0.778
N 0.274 0.778 0.274
N 0.726 0.222 0.726
N 0.726 0.726 0.222
N 0.772 0.772 0.772
N 0.778 0.274 0.274

Formation energy without anion corrections (eV per atom): -0.8835
Total moment (Bohr magnetons per cell): 4.0